[1]
The following is a GGA-PBEsol calculation of crystalline Cr3HRu at its relaxed geometry, from Alexandria via LeMat-Bulk.

Cell and atoms, written as CIF:
```
data_Cr3HRu
_cell_length_a 3.6637
_cell_length_b 3.6637
_cell_length_c 3.6637
_cell_angle_alpha 90.00
_cell_angle_beta 90.00
_cell_angle_gamma 90.00
_space_group_name_H-M_alt 'P m -3 m'
_space_group_IT_number 221
_space_group_name_Hall '-P 4 2 3'
loop_
_atom_site_label
_atom_site_type_symbol
_atom_site_fract_x
_atom_site_fract_y
_atom_site_fract_z
_atom_site_occupancy
Cr1 Cr 0.0000 0.0000 0.5000 1
H1 H 0.0000 0.0000 0.0000 1
Ru1 Ru 0.5000 0.5000 0.5000 1
```

Calculated values
Electronic total energy   -8.72 eV per atom
DOS(E_F)   4.806 states/eV/cell
ρ   8.71 g/cm³

[2]
The following is a GGA-PBEsol calculation of crystalline CrHRu3 at its relaxed geometry, from Alexandria via LeMat-Bulk.

Cell and atoms, written as CIF:
```
data_CrHRu3
_cell_length_a 3.7784
_cell_length_b 3.7784
_cell_length_c 3.7784
_cell_angle_alpha 90.00
_cell_angle_beta 90.00
_cell_angle_gamma 90.00
_space_group_name_H-M_alt 'P m -3 m'
_space_group_IT_number 221
_space_group_name_Hall '-P 4 2 3'
loop_
_atom_site_label
_atom_site_type_symbol
_atom_site_fract_x
_atom_site_fract_y
_atom_site_fract_z
_atom_site_occupancy
Cr1 Cr 0.0000 0.0000 0.0000 1
H1 H 0.5000 0.5000 0.5000 1
Ru1 Ru 0.0000 0.5000 0.5000 1
```

Calculated values
Electronic total energy   -8.72 eV per atom
DOS(E_F)   4.168 states/eV/cell
ρ   10.97 g/cm³

[3]
The following is a GGA-PBEsol calculation of crystalline CrSn2HRu at its relaxed geometry, from Alexandria via LeMat-Bulk.

Cell and atoms, written as CIF:
```
data_CrSn2HRu
_cell_length_a 5.0289
_cell_length_b 5.0289
_cell_length_c 3.1346
_cell_angle_alpha 90.00
_cell_angle_beta 90.00
_cell_angle_gamma 90.00
_space_group_name_H-M_alt 'P 4/m m m'
_space_group_IT_number 123
_space_group_name_Hall '-P 4 2'
loop_
_atom_site_label
_atom_site_type_symbol
_atom_site_fract_x
_atom_site_fract_y
_atom_site_fract_z
_atom_site_occupancy
Cr1 Cr 0.0000 0.0000 0.0000 1
Sn1 Sn 0.0000 0.5000 0.0000 1
H1 H 0.0000 0.0000 0.5000 1
Ru1 Ru 0.5000 0.5000 0.5000 1
```

Calculated values
Electronic total energy   -5.81 eV per atom
DOS(E_F)   3.051 states/eV/cell
ρ   8.20 g/cm³

[4]
The following is a GGA-PBEsol calculation of crystalline ZnCrSbH2 at its relaxed geometry, from Alexandria via LeMat-Bulk.

Cell and atoms, written as CIF:
```
data_ZnCrSbH2
_cell_length_a 3.7076
_cell_length_b 3.7076
_cell_length_c 5.3802
_cell_angle_alpha 90.00
_cell_angle_beta 90.00
_cell_angle_gamma 90.00
_space_group_name_H-M_alt 'P 4/m m m'
_space_group_IT_number 123
_space_group_name_Hall '-P 4 2'
loop_
_atom_site_label
_atom_site_type_symbol
_atom_site_fract_x
_atom_site_fract_y
_atom_site_fract_z
_atom_site_occupancy
Zn1 Zn 0.0000 0.0000 0.0000 1
Cr1 Cr 0.5000 0.5000 0.5000 1
Sb1 Sb 0.5000 0.5000 0.0000 1
H1 H 0.0000 0.5000 0.5000 1
```

Calculated values
Electronic total energy   -4.21 eV per atom
DOS(E_F)   1.484 states/eV/cell
ρ   5.42 g/cm³

[5]
The following is a GGA-PBEsol calculation of crystalline Cr3HSe at its relaxed geometry, from Alexandria via LeMat-Bulk.

Cell and atoms, written as CIF:
```
data_Cr3HSe
_cell_length_a 3.7146
_cell_length_b 3.7146
_cell_length_c 3.7146
_cell_angle_alpha 90.00
_cell_angle_beta 90.00
_cell_angle_gamma 90.00
_space_group_name_H-M_alt 'P m -3 m'
_space_group_IT_number 221
_space_group_name_Hall '-P 4 2 3'
loop_
_atom_site_label
_atom_site_type_symbol
_atom_site_fract_x
_atom_site_fract_y
_atom_site_fract_z
_atom_site_occupancy
Cr1 Cr 0.0000 0.0000 0.5000 1
H1 H 0.0000 0.0000 0.0000 1
Se1 Se 0.5000 0.5000 0.5000 1
```

Calculated values
Electronic total energy   -7.32 eV per atom
DOS(E_F)   6.269 states/eV/cell
ρ   7.64 g/cm³

[6]
The following is a GGA-PBEsol calculation of crystalline CrH3Se at its relaxed geometry, from Alexandria via LeMat-Bulk.

Cell and atoms, written as CIF:
```
data_CrH3Se
_cell_length_a 3.7520
_cell_length_b 3.7520
_cell_length_c 3.7520
_cell_angle_alpha 90.00
_cell_angle_beta 90.00
_cell_angle_gamma 90.00
_space_group_name_H-M_alt 'P m -3 m'
_space_group_IT_number 221
_space_group_name_Hall '-P 4 2 3'
loop_
_atom_site_label
_atom_site_type_symbol
_atom_site_fract_x
_atom_site_fract_y
_atom_site_fract_z
_atom_site_occupancy
Cr1 Cr 0.0000 0.0000 0.0000 1
H1 H 0.0000 0.5000 0.5000 1
Se1 Se 0.5000 0.5000 0.5000 1
```

Calculated values
Electronic total energy   -3.81 eV per atom
DOS(E_F)   1.874 states/eV/cell
ρ   4.21 g/cm³

[7]
The following is a GGA-PBEsol calculation of crystalline CrSiHW2 at its relaxed geometry, from Alexandria via LeMat-Bulk.

Cell and atoms, written as CIF:
```
data_CrSiHW2
_cell_length_a 4.4312
_cell_length_b 4.4312
_cell_length_c 4.3055
_cell_angle_alpha 90.00
_cell_angle_beta 90.00
_cell_angle_gamma 90.00
_space_group_name_H-M_alt 'P 4/m m m'
_space_group_IT_number 123
_space_group_name_Hall '-P 4 2'
loop_
_atom_site_label
_atom_site_type_symbol
_atom_site_fract_x
_atom_site_fract_y
_atom_site_fract_z
_atom_site_occupancy
Cr1 Cr 0.0000 0.0000 0.0000 1
Si1 Si 0.0000 0.0000 0.5000 1
H1 H 0.5000 0.5000 0.5000 1
W1 W 0.0000 0.5000 0.0000 1
```

Calculated values
Electronic total energy   -7.45 eV per atom
DOS(E_F)   4.656 states/eV/cell
ρ   8.81 g/cm³

[8]
The following is a GGA-PBEsol calculation of crystalline Ta3CrH at its relaxed geometry, from Alexandria via LeMat-Bulk.

Cell and atoms, written as CIF:
```
data_Ta3CrH
_cell_length_a 4.1112
_cell_length_b 4.1112
_cell_length_c 4.1112
_cell_angle_alpha 90.00
_cell_angle_beta 90.00
_cell_angle_gamma 90.00
_space_group_name_H-M_alt 'P m -3 m'
_space_group_IT_number 221
_space_group_name_Hall '-P 4 2 3'
loop_
_atom_site_label
_atom_site_type_symbol
_atom_site_fract_x
_atom_site_fract_y
_atom_site_fract_z
_atom_site_occupancy
Ta1 Ta 0.0000 0.0000 0.5000 1
Cr1 Cr 0.5000 0.5000 0.5000 1
H1 H 0.0000 0.0000 0.0000 1
```

Calculated values
Electronic total energy   -9.98 eV per atom
DOS(E_F)   5.283 states/eV/cell
ρ   14.24 g/cm³

[9]
The following is a GGA-PBEsol calculation of crystalline Cr2TcH2 at its relaxed geometry, from Alexandria via LeMat-Bulk.

Cell and atoms, written as CIF:
```
data_Cr2TcH2
_cell_length_a 2.7131
_cell_length_b 2.7131
_cell_length_c 11.3468
_cell_angle_alpha 90.00
_cell_angle_beta 90.00
_cell_angle_gamma 90.00
_space_group_name_H-M_alt 'I 4/m m m'
_space_group_IT_number 139
_space_group_name_Hall '-I 4 2'
loop_
_atom_site_label
_atom_site_type_symbol
_atom_site_fract_x
_atom_site_fract_y
_atom_site_fract_z
_atom_site_occupancy
Cr1 Cr 0.0000 0.0000 0.1528 1
Tc1 Tc 0.0000 0.0000 0.5000 1
H1 H 0.0000 0.5000 0.2500 1
```

Calculated values
Electronic total energy   -7.60 eV per atom
DOS(E_F)   6.720 states/eV/cell
ρ   8.11 g/cm³

[10]
The following is a GGA-PBEsol calculation of crystalline CrTcH3 at its relaxed geometry, from Alexandria via LeMat-Bulk.

Cell and atoms, written as CIF:
```
data_CrTcH3
_cell_length_a 3.2381
_cell_length_b 3.2381
_cell_length_c 3.2381
_cell_angle_alpha 90.00
_cell_angle_beta 90.00
_cell_angle_gamma 90.00
_space_group_name_H-M_alt 'P m -3 m'
_space_group_IT_number 221
_space_group_name_Hall '-P 4 2 3'
loop_
_atom_site_label
_atom_site_type_symbol
_atom_site_fract_x
_atom_site_fract_y
_atom_site_fract_z
_atom_site_occupancy
Cr1 Cr 0.0000 0.0000 0.0000 1
Tc1 Tc 0.5000 0.5000 0.5000 1
H1 H 0.0000 0.0000 0.5000 1
```

Calculated values
Electronic total energy   -5.91 eV per atom
DOS(E_F)   2.697 states/eV/cell
ρ   7.48 g/cm³

[11]
The following is a GGA-PBEsol calculation of crystalline CrTeH3 at its relaxed geometry, from Alexandria via LeMat-Bulk.

Cell and atoms, written as CIF:
```
data_CrTeH3
_cell_length_a 3.5890
_cell_length_b 3.5890
_cell_length_c 3.5890
_cell_angle_alpha 90.00
_cell_angle_beta 90.00
_cell_angle_gamma 90.00
_space_group_name_H-M_alt 'P m -3 m'
_space_group_IT_number 221
_space_group_name_Hall '-P 4 2 3'
loop_
_atom_site_label
_atom_site_type_symbol
_atom_site_fract_x
_atom_site_fract_y
_atom_site_fract_z
_atom_site_occupancy
Cr1 Cr 0.0000 0.0000 0.0000 1
Te1 Te 0.5000 0.5000 0.5000 1
H1 H 0.0000 0.0000 0.5000 1
```

Calculated values
Electronic total energy   -4.27 eV per atom
DOS(E_F)   2.042 states/eV/cell
ρ   6.56 g/cm³

[12]
The following is a GGA-PBEsol calculation of crystalline Zr2TiCrH at its relaxed geometry, from Alexandria via LeMat-Bulk.

Cell and atoms, written as CIF:
```
data_Zr2TiCrH
_cell_length_a 5.1119
_cell_length_b 5.1119
_cell_length_c 3.2049
_cell_angle_alpha 90.00
_cell_angle_beta 90.00
_cell_angle_gamma 90.00
_space_group_name_H-M_alt 'P 4/m m m'
_space_group_IT_number 123
_space_group_name_Hall '-P 4 2'
loop_
_atom_site_label
_atom_site_type_symbol
_atom_site_fract_x
_atom_site_fract_y
_atom_site_fract_z
_atom_site_occupancy
Zr1 Zr 0.0000 0.5000 0.0000 1
Ti1 Ti 0.0000 0.0000 0.0000 1
Cr1 Cr 0.5000 0.5000 0.5000 1
H1 H 0.0000 0.0000 0.5000 1
```

Calculated values
Electronic total energy   -7.22 eV per atom
DOS(E_F)   5.791 states/eV/cell
ρ   5.62 g/cm³

| no. | total magnetization (μB/cell) |
| --- | --- |
| 1 | 0.00 |
| 2 | 0.36 |
| 3 | 3.03 |
| 4 | 3.15 |
| 5 | 4.80 |
| 6 | 4.87 |
| 7 | 0.00 |
| 8 | 2.27 |
| 9 | 0.00 |
| 10 | 2.17 |
| 11 | 2.05 |
| 12 | 2.42 |